Record 1
Below is crystalline ThSiGe at its relaxed geometry, with properties calculated at the PBE level.

Results
The uncorrected formation energy is -540 meV per atom. For the magnetic moment, the calculation gives 0.00 Bohr magnetons per cell.

The structure in CIF format:
```
data_ThSiGe
_chemical_formula_sum 'Th2 Si2 Ge2'
_cell_length_a 8.087
_cell_length_b 8.087
_cell_length_c 4.242
_cell_angle_alpha 90.00
_cell_angle_beta 90.00
_cell_angle_gamma 150.48
_symmetry_space_group_name_H-M 'P 1'
_symmetry_Int_Tables_number 1
_symmetry_space_group_name_Hall 'P 1'
loop_
_atom_site_label
_atom_site_type_symbol
_atom_site_fract_x
_atom_site_fract_y
_atom_site_fract_z
_atom_site_occupancy
Th1 Th 0.116 0.884 0.750 1
Th2 Th 0.884 0.116 0.250 1
Si1 Si 0.465 0.535 0.750 1
Si2 Si 0.535 0.465 0.250 1
Ge1 Ge 0.315 0.685 0.750 1
Ge2 Ge 0.685 0.315 0.250 1
```



Record 2
Below is crystalline Tm3ZnTe2 at its relaxed geometry, with properties calculated at the PBE level.

Results
The uncorrected formation energy is -758 meV per atom. For the magnetic moment, the calculation gives 0.00 Bohr magnetons per cell.

The structure in CIF format:
```
data_Tm3ZnTe2
_chemical_formula_sum 'Tm3 Zn1 Te2'
_cell_length_a 7.710
_cell_length_b 7.710
_cell_length_c 4.315
_cell_angle_alpha 90.00
_cell_angle_beta 90.00
_cell_angle_gamma 134.39
_symmetry_space_group_name_H-M 'P 1'
_symmetry_Int_Tables_number 1
_symmetry_space_group_name_Hall 'P 1'
loop_
_atom_site_label
_atom_site_type_symbol
_atom_site_fract_x
_atom_site_fract_y
_atom_site_fract_z
_atom_site_occupancy
Tm1 Tm 0.000 0.000 0.000 1
Tm2 Tm 0.372 0.628 0.500 1
Tm3 Tm 0.628 0.372 0.500 1
Zn1 Zn 0.500 0.500 0.000 1
Te1 Te 0.155 0.845 0.500 1
Te2 Te 0.845 0.155 0.500 1
```



Record 3
Below is crystalline Cs2RbLi at its relaxed geometry, with properties calculated at the PBE level.

Results
For the formation energy, the calculation gives 133.1 meV per atom. For the magnetic moment, the calculation gives 0.00 Bohr magnetons per cell.

The structure in CIF format:
```
data_Cs2RbLi
_chemical_formula_sum 'Cs2 Rb1 Li1'
_cell_length_a 7.638
_cell_length_b 7.638
_cell_length_c 7.638
_cell_angle_alpha 60.00
_cell_angle_beta 60.00
_cell_angle_gamma 60.00
_symmetry_space_group_name_H-M 'P 1'
_symmetry_Int_Tables_number 1
_symmetry_space_group_name_Hall 'P 1'
loop_
_atom_site_label
_atom_site_type_symbol
_atom_site_fract_x
_atom_site_fract_y
_atom_site_fract_z
_atom_site_occupancy
Cs1 Cs 0.250 0.250 0.250 1
Cs2 Cs 0.750 0.750 0.750 1
Rb1 Rb 0.000 0.000 0.000 1
Li1 Li 0.500 0.500 0.500 1
```



Record 4
Below is crystalline TaAsAuSe2 at its relaxed geometry, with properties calculated at the PBE level.

Results
The uncorrected formation energy is 1217 meV per atom. For the magnetic moment, the calculation gives 0.00 Bohr magnetons per cell.

The structure in CIF format:
```
data_TaAsAuSe2
_chemical_formula_sum 'Ta1 As1 Au1 Se2'
_cell_length_a 4.964
_cell_length_b 4.964
_cell_length_c 4.872
_cell_angle_alpha 90.00
_cell_angle_beta 90.00
_cell_angle_gamma 90.00
_symmetry_space_group_name_H-M 'P 1'
_symmetry_Int_Tables_number 1
_symmetry_space_group_name_Hall 'P 1'
loop_
_atom_site_label
_atom_site_type_symbol
_atom_site_fract_x
_atom_site_fract_y
_atom_site_fract_z
_atom_site_occupancy
Ta1 Ta 0.000 0.000 0.000 1
As1 As 0.500 0.500 0.000 1
Au1 Au 0.500 0.500 0.500 1
Se1 Se 0.000 0.500 0.500 1
Se2 Se 0.500 0.000 0.500 1
```



Record 5
Below is crystalline CrPtW4 at its relaxed geometry, with properties calculated at the PBE level.

Results
For the formation energy, the calculation gives 507.4 meV per atom. For the magnetic moment, the calculation gives 1.83 Bohr magnetons per cell.

The structure in CIF format:
```
data_CrPtW4
_chemical_formula_sum 'Cr1 Pt1 W4'
_cell_length_a 5.213
_cell_length_b 5.213
_cell_length_c 5.213
_cell_angle_alpha 60.00
_cell_angle_beta 60.00
_cell_angle_gamma 60.00
_symmetry_space_group_name_H-M 'P 1'
_symmetry_Int_Tables_number 1
_symmetry_space_group_name_Hall 'P 1'
loop_
_atom_site_label
_atom_site_type_symbol
_atom_site_fract_x
_atom_site_fract_y
_atom_site_fract_z
_atom_site_occupancy
Cr1 Cr 0.000 0.000 0.000 1
Pt1 Pt 0.750 0.750 0.750 1
W1 W 0.374 0.374 0.374 1
W2 W 0.374 0.374 0.877 1
W3 W 0.374 0.877 0.374 1
W4 W 0.877 0.374 0.374 1
```



Record 6
Below is crystalline Ho5PSe4 at its relaxed geometry, with properties calculated at the PBE level.

Results
The uncorrected formation energy is -1738 meV per atom. For the magnetic moment, the calculation gives 0.00 Bohr magnetons per cell.

The structure in CIF format:
```
data_Ho5PSe4
_chemical_formula_sum 'Ho5 P1 Se4'
_cell_length_a 14.726
_cell_length_b 14.726
_cell_length_c 14.726
_cell_angle_alpha 164.29
_cell_angle_beta 164.29
_cell_angle_gamma 22.28
_symmetry_space_group_name_H-M 'P 1'
_symmetry_Int_Tables_number 1
_symmetry_space_group_name_Hall 'P 1'
loop_
_atom_site_label
_atom_site_type_symbol
_atom_site_fract_x
_atom_site_fract_y
_atom_site_fract_z
_atom_site_occupancy
Ho1 Ho 0.000 0.000 0.000 1
Ho2 Ho 0.205 0.205 0.000 1
Ho3 Ho 0.407 0.407 0.000 1
Ho4 Ho 0.593 0.593 0.000 1
Ho5 Ho 0.795 0.795 0.000 1
P1 P 0.500 0.500 0.000 1
Se1 Se 0.102 0.102 0.000 1
Se2 Se 0.304 0.304 0.000 1
Se3 Se 0.696 0.696 0.000 1
Se4 Se 0.898 0.898 0.000 1
```



Record 7
Below is crystalline HfCrS2Cl at its relaxed geometry, with properties calculated at the PBE level.

Results
The uncorrected formation energy is -538 meV per atom. For the magnetic moment, the calculation gives 4.89 Bohr magnetons per cell.

The structure in CIF format:
```
data_HfCrS2Cl
_chemical_formula_sum 'Hf1 Cr1 S2 Cl1'
_cell_length_a 4.949
_cell_length_b 4.949
_cell_length_c 4.922
_cell_angle_alpha 90.00
_cell_angle_beta 90.00
_cell_angle_gamma 90.00
_symmetry_space_group_name_H-M 'P 1'
_symmetry_Int_Tables_number 1
_symmetry_space_group_name_Hall 'P 1'
loop_
_atom_site_label
_atom_site_type_symbol
_atom_site_fract_x
_atom_site_fract_y
_atom_site_fract_z
_atom_site_occupancy
Hf1 Hf 0.000 0.000 0.000 1
Cr1 Cr 0.500 0.500 0.500 1
S1 S 0.000 0.500 0.000 1
S2 S 0.500 0.000 0.000 1
Cl1 Cl 0.000 0.000 0.500 1
```



Record 8
Below is crystalline CsTl7Bi2 at its relaxed geometry, with properties calculated at the PBE level.

Results
For the formation energy, the calculation gives 80.7 meV per atom. For the magnetic moment, the calculation gives 0.00 Bohr magnetons per cell.

The structure in CIF format:
```
data_CsTl7Bi2
_chemical_formula_sum 'Cs1 Tl7 Bi2'
_cell_length_a 10.203
_cell_length_b 10.203
_cell_length_c 5.232
_cell_angle_alpha 90.00
_cell_angle_beta 90.00
_cell_angle_gamma 122.26
_symmetry_space_group_name_H-M 'P 1'
_symmetry_Int_Tables_number 1
_symmetry_space_group_name_Hall 'P 1'
loop_
_atom_site_label
_atom_site_type_symbol
_atom_site_fract_x
_atom_site_fract_y
_atom_site_fract_z
_atom_site_occupancy
Cs1 Cs 0.000 0.000 0.000 1
Tl1 Tl 0.032 0.335 0.500 1
Tl2 Tl 0.219 0.781 0.000 1
Tl3 Tl 0.335 0.032 0.500 1
Tl4 Tl 0.500 0.500 0.500 1
Tl5 Tl 0.665 0.968 0.500 1
Tl6 Tl 0.781 0.219 0.000 1
Tl7 Tl 0.968 0.665 0.500 1
Bi1 Bi 0.318 0.682 0.500 1
Bi2 Bi 0.682 0.318 0.500 1
```



Record 9
Below is crystalline TbTa3N6 at its relaxed geometry, with properties calculated at the PBE level.

Results
The uncorrected formation energy is -1144 meV per atom. For the magnetic moment, the calculation gives 0.00 Bohr magnetons per cell.

The structure in CIF format:
```
data_TbTa3N6
_chemical_formula_sum 'Tb2 Ta6 N12'
_cell_length_a 8.661
_cell_length_b 3.147
_cell_length_c 8.953
_cell_angle_alpha 90.00
_cell_angle_beta 107.69
_cell_angle_gamma 90.00
_symmetry_space_group_name_H-M 'P 1'
_symmetry_Int_Tables_number 1
_symmetry_space_group_name_Hall 'P 1'
loop_
_atom_site_label
_atom_site_type_symbol
_atom_site_fract_x
_atom_site_fract_y
_atom_site_fract_z
_atom_site_occupancy
Tb1 Tb 0.067 0.250 0.198 1
Tb2 Tb 0.933 0.750 0.802 1
Ta1 Ta 0.162 0.250 0.588 1
Ta2 Ta 0.317 0.750 0.990 1
Ta3 Ta 0.469 0.250 0.326 1
Ta4 Ta 0.531 0.750 0.674 1
Ta5 Ta 0.683 0.250 0.010 1
Ta6 Ta 0.838 0.750 0.412 1
N1 N 0.080 0.750 0.413 1
N2 N 0.145 0.250 0.961 1
N3 N 0.218 0.750 0.737 1
N4 N 0.298 0.750 0.237 1
N5 N 0.390 0.250 0.548 1
N6 N 0.479 0.250 0.104 1
N7 N 0.521 0.750 0.896 1
N8 N 0.610 0.750 0.452 1
N9 N 0.702 0.250 0.763 1
N10 N 0.782 0.250 0.263 1
N11 N 0.855 0.750 0.039 1
N12 N 0.920 0.250 0.587 1
```



Record 10
Below is crystalline Sm2Ho4ErTm at its relaxed geometry, with properties calculated at the PBE level.

Results
For the formation energy, the calculation gives 439.9 meV per atom. For the magnetic moment, the calculation gives 6.51 Bohr magnetons per cell.

The structure in CIF format:
```
data_Sm2Ho4ErTm
_chemical_formula_sum 'Sm4 Ho8 Er2 Tm2'
_cell_length_a 9.466
_cell_length_b 9.466
_cell_length_c 9.466
_cell_angle_alpha 138.11
_cell_angle_beta 103.42
_cell_angle_gamma 91.34
_symmetry_space_group_name_H-M 'P 1'
_symmetry_Int_Tables_number 1
_symmetry_space_group_name_Hall 'P 1'
loop_
_atom_site_label
_atom_site_type_symbol
_atom_site_fract_x
_atom_site_fract_y
_atom_site_fract_z
_atom_site_occupancy
Sm1 Sm 0.000 0.000 0.000 1
Sm2 Sm 0.500 0.000 0.000 1
Sm3 Sm 0.500 0.000 0.500 1
Sm4 Sm 0.500 0.500 0.500 1
Ho1 Ho 0.244 0.748 0.497 1
Ho2 Ho 0.246 0.248 0.501 1
Ho3 Ho 0.246 0.745 0.999 1
Ho4 Ho 0.249 0.252 0.997 1
Ho5 Ho 0.751 0.748 0.003 1
Ho6 Ho 0.754 0.255 0.001 1
Ho7 Ho 0.754 0.752 0.499 1
Ho8 Ho 0.756 0.252 0.503 1
Er1 Er 0.000 0.500 0.500 1
Er2 Er 0.500 0.500 0.000 1
Tm1 Tm 0.000 0.000 0.500 1
Tm2 Tm 0.000 0.500 0.000 1
```



Record 11
Below is crystalline TbPmC4 at its relaxed geometry, with properties calculated at the PBE level.

Results
For the formation energy, the calculation gives -162.9 meV per atom. For the magnetic moment, the calculation gives 0.00 Bohr magnetons per cell.

The structure in CIF format:
```
data_TbPmC4
_chemical_formula_sum 'Tb1 Pm1 C4'
_cell_length_a 4.138
_cell_length_b 4.138
_cell_length_c 7.332
_cell_angle_alpha 115.28
_cell_angle_beta 115.28
_cell_angle_gamma 53.87
_symmetry_space_group_name_H-M 'P 1'
_symmetry_Int_Tables_number 1
_symmetry_space_group_name_Hall 'P 1'
loop_
_atom_site_label
_atom_site_type_symbol
_atom_site_fract_x
_atom_site_fract_y
_atom_site_fract_z
_atom_site_occupancy
Tb1 Tb 0.000 0.000 0.000 1
Pm1 Pm 0.500 0.500 0.500 1
C1 C 0.200 0.200 0.809 1
C2 C 0.304 0.304 0.707 1
C3 C 0.696 0.696 0.293 1
C4 C 0.800 0.800 0.191 1
```



Record 12
Below is crystalline Sn3Au5 at its relaxed geometry, with properties calculated at the PBE level.

Results
For the formation energy, the calculation gives -79.0 meV per atom. For the magnetic moment, the calculation gives 0.00 Bohr magnetons per cell.

The structure in CIF format:
```
data_Sn3Au5
_chemical_formula_sum 'Sn6 Au10'
_cell_length_a 10.943
_cell_length_b 7.726
_cell_length_c 8.827
_cell_angle_alpha 82.48
_cell_angle_beta 44.42
_cell_angle_gamma 53.10
_symmetry_space_group_name_H-M 'P 1'
_symmetry_Int_Tables_number 1
_symmetry_space_group_name_Hall 'P 1'
loop_
_atom_site_label
_atom_site_type_symbol
_atom_site_fract_x
_atom_site_fract_y
_atom_site_fract_z
_atom_site_occupancy
Sn1 Sn 0.000 0.000 0.000 1
Sn2 Sn 0.250 0.250 0.250 1
Sn3 Sn 0.387 0.660 0.271 1
Sn4 Sn 0.568 0.979 0.590 1
Sn5 Sn 0.660 0.387 0.682 1
Sn6 Sn 0.979 0.568 0.863 1
Au1 Au 0.011 0.806 0.368 1
Au2 Au 0.213 0.483 0.978 1
Au3 Au 0.272 0.924 0.037 1
Au4 Au 0.435 0.882 0.444 1
Au5 Au 0.480 0.480 0.520 1
Au6 Au 0.483 0.213 0.326 1
Au7 Au 0.730 0.730 0.770 1
Au8 Au 0.806 0.011 0.815 1
Au9 Au 0.882 0.435 0.239 1
Au10 Au 0.924 0.272 0.767 1
```